1.
Material: LaDy5Tm5
Method: DFT, PBE
State: optimized geometry

The structure belongs to space group P-6m2 (No. 187); the cell edges are 6.0261, 6.0261 and 11.6387 Å and the angles 90.00°, 90.00° and 120.00°. The asymmetric unit holds La at (0.0000, 0.0000, 0.0000), Dy at (0.0000, 0.0000, 0.3266), Dy at (0.3333, 0.6667, 0.1575), Dy at (0.6667, 0.3333, 0.0000), Tm at (0.9998, 0.4999, 0.5000) and Tm at (0.6667, 0.3333, 0.2652).

The calculated formation energy is 0.312 eV/atom. For the total magnetization, the calculation gives 0.0 Bohr magnetons per cell.

---

2.
Material: La2Dy7Tm
Method: DFT, PBE
State: optimized geometry

The structure belongs to space group P-1 (No. 2); the cell edges are 6.196, 7.153 and 8.005 Å and the angles 77.18°, 74.95° and 73.55°. The asymmetric unit holds La at (0.201, 0.299, 0.102), Dy at (0.000, 0.000, 0.500), Dy at (0.199, 0.799, 0.103), Dy at (0.397, 0.102, 0.696), Dy at (0.398, 0.601, 0.696) and Tm at (0.000, 0.500, 0.500).

The calculated formation energy is 0.026 eV/atom. For the total magnetization, the calculation gives 0.0 Bohr magnetons per cell.

---

3.
Material: La3Dy4Tm3
Method: DFT, PBE
State: optimized geometry

The structure belongs to space group Amm2 (No. 38); the cell edges are 3.717, 13.448 and 13.442 Å and the angles 90.00°, 90.00° and 90.00°. The asymmetric unit holds La at (0.000, 0.000, 0.000), La at (0.500, 0.244, 0.421), Dy at (0.500, 0.000, 0.548), Dy at (0.500, 0.000, 0.793), Dy at (0.500, 0.125, 0.178), Tm at (0.000, 0.000, 0.346) and Tm at (0.000, 0.171, 0.672).

The calculated formation energy is 0.083 eV/atom. For the total magnetization, the calculation gives 0.0 Bohr magnetons per cell.

---

4.
Material: LaDy5Tm3
Method: DFT, PBE
State: optimized geometry

The structure belongs to space group C2/m (No. 12); the cell edges are 16.965, 7.964 and 12.141 Å and the angles 90.00°, 130.68° and 90.00°. The asymmetric unit holds La at (0.237, 0.000, 0.138), Dy at (0.000, 0.322, 0.000), Dy at (0.064, 0.208, 0.779), Dy at (0.124, 0.000, 0.569), Dy at (0.201, 0.500, 0.071), Tm at (0.000, 0.000, 0.000), Tm at (0.000, 0.500, 0.500), Tm at (0.122, 0.500, 0.321) and Tm at (0.163, 0.000, 0.337).

The calculated formation energy is 0.426 eV/atom. For the total magnetization, the calculation gives 0.0 Bohr magnetons per cell.